# LiLaCr2

An optimized crystal structure of LiLaCr2 (GGA-PBE, Alexandria).

Cell lengths 2.698, 2.698, 9.357 Å; angles 90.00, 90.00, 90.00 degrees
Atoms (fractional coordinates):
Li  0.500  0.500  0.750
Cr  0.000  0.000  0.976
Cr  0.000  0.000  0.524
La  0.500  0.500  0.250

For the energy of formation from the pure elements, the calculation gives 1.071 eV/atom. The volume comes out at 68.11 Å³/f.u. For the energy, the calculation gives -0.20033 hartree per atom. The value obtained for the offset from the most stable computed form is 264 kJ/mol of formula units. The calculation puts the density of states at the Fermi level at 1.322 states/eV per atom.